(1)
Here is crystalline TbNdTc at its relaxed geometry from OQMD via LeMat-Bulk. Energies are from PBE.

Unit cell a=4.807 b=4.807 c=4.807 alpha=60.00 beta=60.00 gamma=60.00
Site moments in Bohr magnetons follow the coordinates.
Fractional coordinates of all 3 atoms:
Nd: 0.000 0.000 0.000  -0.03
Tb: 0.250 0.250 0.250  -0.06
Tc: 0.750 0.750 0.750  0.54

space group	No. 216
V	78.55	Å³ per cell
size of the total moment	0.5	μB per cell
final energy	-0.2059	Ha/atom
energy relative to the elements	981	meV/atom

(2)
Here is crystalline TbNdTe at its relaxed geometry from OQMD via LeMat-Bulk. Energies are from PBE.

Unit cell a=5.149 b=5.149 c=5.149 alpha=60.00 beta=60.00 gamma=60.00
Fractional coordinates of all 3 atoms:
Nd: 0.250 0.250 0.250
Te: 0.000 0.000 0.000
Tb: 0.750 0.750 0.750

energy relative to the lowest polymorph listed for this composition	0.00	eV per formula unit
space group	No. 216
V	96.52	Å³ per cell
size of the total moment	0.6	μB per cell
final energy	-0.1755	Ha/atom

(3)
Here is crystalline TbNd5Te6 at its relaxed geometry from OQMD via LeMat-Bulk. Energies are from PBE.

Unit cell a=7.763 b=7.763 c=7.735 alpha=99.62 beta=99.62 gamma=120.11
Fractional coordinates of all 12 atoms:
Te: 0.757 0.757 0.250
Te: 0.918 0.593 0.755
Te: 0.243 0.243 0.750
Te: 0.082 0.407 0.245
Te: 0.407 0.082 0.245
Te: 0.593 0.918 0.755
Tb: 0.000 0.000 0.000
Nd: 0.500 0.500 0.500
Nd: 0.173 0.827 0.500
Nd: 0.668 0.332 0.000
Nd: 0.332 0.668 0.000
Nd: 0.827 0.173 0.500

space group	No. 12
V	380.00	Å³ per cell
size of the total moment	0.0	μB per cell
final energy	-0.1965	Ha/atom

(4)
Here is crystalline TbNdTh at its relaxed geometry from OQMD via LeMat-Bulk. Energies are from PBE.

Unit cell a=5.404 b=5.404 c=5.404 alpha=60.00 beta=60.00 gamma=60.00
Site moments in Bohr magnetons follow the coordinates.
Fractional coordinates of all 3 atoms:
Nd: 0.000 0.000 0.000  0.40
Th: 0.250 0.250 0.250  0.30
Tb: 0.750 0.750 0.750  0.27

space group	No. 216
V	111.57	Å³ per cell
size of the total moment	1.5	μB per cell
final energy	-0.1758	Ha/atom
energy relative to the elements	818	meV/atom

(5)
Here is crystalline Tb2NdTl3 at its relaxed geometry from OQMD via LeMat-Bulk. Energies are from PBE.

Unit cell a=3.792 b=3.792 c=11.681 alpha=90.00 beta=90.00 gamma=90.00
Fractional coordinates of all 6 atoms:
Nd: 0.000 0.000 0.500
Tl: 0.500 0.500 0.676
Tl: 0.500 0.500 0.000
Tl: 0.500 0.500 0.324
Tb: 0.000 0.000 0.163
Tb: 0.000 0.000 0.837

space group	No. 123
V	168.00	Å³ per cell
size of the total moment	0.1	μB per cell
final energy	-0.1428	Ha/atom

(6)
Here is crystalline TbNdTl2 at its relaxed geometry from OQMD via LeMat-Bulk. Energies are from PBE.

Unit cell a=3.845 b=3.845 c=7.676 alpha=90.00 beta=90.00 gamma=90.00
Fractional coordinates of all 4 atoms:
Tl: 0.500 0.500 0.240
Tl: 0.500 0.500 0.760
Tb: 0.000 0.000 0.000
Nd: 0.000 0.000 0.500

space group	No. 123
V	113.45	Å³ per cell
size of the total moment	0.0	μB per cell
final energy	-0.1435	Ha/atom

(7)
Here is crystalline TbNdTl at its relaxed geometry from OQMD via LeMat-Bulk. Energies are from PBE.

Unit cell a=5.251 b=5.251 c=5.251 alpha=60.00 beta=60.00 gamma=60.00
Fractional coordinates of all 3 atoms:
Tl: 0.000 0.000 0.000
Tb: 0.750 0.750 0.750
Nd: 0.250 0.250 0.250

energy relative to the lowest polymorph listed for this composition	0.00	eV per formula unit
space group	No. 216
V	102.36	Å³ per cell
size of the total moment	0.8	μB per cell
final energy	-0.1455	Ha/atom

(8)
Here is crystalline TbNdTm at its relaxed geometry from OQMD via LeMat-Bulk. Energies are from PBE.

Unit cell a=9.722 b=9.722 c=3.542 alpha=90.00 beta=90.00 gamma=120.00
Fractional coordinates of all 9 atoms:
Tm: 0.000 0.000 0.500
Tm: 0.667 0.333 0.000
Tm: 0.333 0.667 0.000
Tb: 0.639 0.000 0.500
Tb: 0.361 0.361 0.500
Tb: 0.000 0.639 0.500
Nd: 0.305 0.000 0.000
Nd: 0.000 0.305 0.000
Nd: 0.695 0.695 0.000

energy relative to the lowest polymorph listed for this composition	0.00	eV per formula unit
space group	No. 189
V	289.92	Å³ per cell
size of the total moment	0.0	μB per cell
final energy	-0.1683	Ha/atom
energy relative to the elements	42	meV/atom

(9)
Here is crystalline Tb2Nd3Tm at its relaxed geometry from OQMD via LeMat-Bulk. Energies are from PBE.

Unit cell a=6.263 b=6.263 c=11.599 alpha=90.00 beta=90.00 gamma=59.97
Fractional coordinates of all 12 atoms:
Tm: 0.667 0.333 0.220
Tm: 0.333 0.667 0.720
Tb: 0.000 0.333 0.720
Tb: 0.333 0.000 0.220
Tb: 0.000 0.667 0.220
Tb: 0.667 0.000 0.720
Nd: 0.334 0.335 0.470
Nd: 0.665 0.666 0.470
Nd: 0.001 0.999 0.970
Nd: 0.335 0.334 0.970
Nd: 0.666 0.665 0.970
Nd: 0.999 0.001 0.470

space group	No. 63
V	393.92	Å³ per cell
size of the total moment	0.3	μB per cell
final energy	-0.1718	Ha/atom
energy relative to the elements	-3	meV/atom

(10)
Here is crystalline TbNdTm at its relaxed geometry from OQMD via LeMat-Bulk. Energies are from PBE.

Unit cell a=5.443 b=5.443 c=5.443 alpha=60.00 beta=60.00 gamma=60.00
Fractional coordinates of all 3 atoms:
Tm: 0.000 0.000 0.000
Tb: 0.750 0.750 0.750
Nd: 0.250 0.250 0.250

energy relative to the lowest polymorph listed for this composition	1.98	eV per formula unit
space group	No. 216
V	114.01	Å³ per cell
size of the total moment	0.0	μB per cell
final energy	-0.1441	Ha/atom
energy relative to the elements	702	meV/atom

(11)
Here is crystalline TbNdU at its relaxed geometry from OQMD via LeMat-Bulk. Energies are from PBE.

Unit cell a=5.297 b=5.297 c=5.297 alpha=60.00 beta=60.00 gamma=60.00
Fractional coordinates of all 3 atoms:
Tb: 0.750 0.750 0.750
Nd: 0.250 0.250 0.250
U: 0.000 0.000 0.000

energy relative to the lowest polymorph listed for this composition	0.00	eV per formula unit
space group	No. 216
V	105.11	Å³ per cell
size of the total moment	4.3	μB per cell
final energy	-0.2072	Ha/atom
energy relative to the elements	1259	meV/atom

(12)
Here is crystalline TbNdY at its relaxed geometry from OQMD via LeMat-Bulk. Energies are from PBE.

Unit cell a=5.503 b=5.503 c=5.503 alpha=60.00 beta=60.00 gamma=60.00
Fractional coordinates of all 3 atoms:
Nd: 0.000 0.000 0.000
Y: 0.750 0.750 0.750
Tb: 0.500 0.500 0.500

space group	No. 216
V	117.81	Å³ per cell
size of the total moment	0.0	μB per cell
final energy	-0.1671	Ha/atom
energy relative to the elements	740	meV/atom